## TiPdSe (PBE)

Data for a relaxed TiPdSe crystal.

a = 3.366 Å, b = 6.046 Å, c = 10.347 Å
α = 90.00°, β = 90.00°, γ = 90.00°
Positions (direct):
Ti: 0.750 0.661 0.311
Ti: 0.250 0.339 0.689
Ti: 0.250 0.839 0.811
Pd: 0.250 0.674 0.525
Ti: 0.750 0.161 0.189
Se: 0.250 0.492 0.154
Pd: 0.750 0.826 0.025
Pd: 0.250 0.174 0.975
Se: 0.750 0.008 0.654
Se: 0.750 0.508 0.846
Pd: 0.750 0.326 0.475
Se: 0.250 0.992 0.346

Properties
The total DFT energy (no corrections) comes out at -6.17 eV/atom. The space-group type is Pnma (62).